FePtF3 PBE+U relaxed; electronic total energy = -3.6512 eV/atom
1.0
4.3402 0.0000 0.0000
0.0000 4.3402 0.0000
0.0000 0.0000 4.3402
Fe Pt F
1 1 3
Cartesian
2.1701 2.1701 2.1701
0.0000 0.0000 0.0000
0.0000 2.1701 0.0000
0.0000 0.0000 2.1701
2.1701 0.0000 0.0000